# 1
BaIrRu3 after structural relaxation. Source: Alexandria, functional PBE.

Results
E_form: 3.11 eV per atom
energy above the most stable polymorph in this dataset: 2039 meV per atom
total magnetization: 5.22 μB/f.u.

The structure in POSCAR format:
```
BaIrRu3
1.0
-2.849 3.929 0.573
-2.150 -0.933 -4.288
-3.338 -2.752 2.273
Ru Ir Ba
3 1 1
direct
0.000 0.500 0.000
0.500 0.000 0.000
0.000 0.000 0.500
0.500 0.500 0.500
0.000 0.000 0.000
```

=====

# 2
KPu2AgI8 after structural relaxation. Source: Alexandria, functional PBE.

Results
E: -4.70 eV per atom
total magnetization: 10.00 μB/f.u.

The structure in POSCAR format:
```
KPu2AgI8
1.0
7.754 0.372 -0.005
0.497 7.457 -0.009
0.009 0.012 9.397
I Pu Ag K
8 2 1 1
direct
0.362 0.270 0.000
0.844 0.253 0.779
0.638 0.730 0.000
0.633 0.719 0.500
0.367 0.281 0.500
0.156 0.747 0.779
0.156 0.747 0.221
0.844 0.253 0.221
0.500 0.500 0.757
0.500 0.500 0.243
0.000 0.000 0.000
0.000 0.000 0.500
```

=====

# 3
CaTlCu after structural relaxation. Source: Alexandria, functional PBE.

Results
E_form: -0.10 eV per atom
total magnetization: 0.00 μB/f.u.

The structure in POSCAR format:
```
CaTlCu
1.0
-3.379 4.506 1.183
-5.519 1.583 0.399
-1.042 -0.190 3.551
Tl Ca Cu
1 1 1
direct
0.689 0.689 0.311
0.992 0.992 0.008
0.319 0.319 0.681
```